# 1
Compound: CrSbIN2
Source: Alexandria via LeMat-Bulk
Functional: PBEsol
Structure: optimized geometry

Cell: 4.005 4.005 6.607 Å, 90.00 90.00 90.00°
Space group P4/mmm (No. 123)
Asymmetric unit:
Cr (0.000, 0.000, 0.000)
Sb (0.500, 0.500, 0.500)
I (0.500, 0.500, 0.000)
N (0.000, 0.500, 0.500)

Properties
E_form (uncorrected), meV/atom: 1333
Total magnetic moment, μB per atom: 1.06
Density of states at the Fermi level, states/eV/f.u.: 2.15
Total energy, eV per cell: -26.95
V, A^3/atom: 21.19

---

# 2
Compound: CrSbI2N
Source: Alexandria via LeMat-Bulk
Functional: PBEsol
Structure: optimized geometry

Cell: 5.595 5.595 3.602 Å, 90.00 90.00 90.00°
Space group P4/mmm (No. 123)
Asymmetric unit:
Cr (0.000, 0.000, 0.000)
Sb (0.500, 0.500, 0.500)
I (0.000, 0.500, 0.000)
N (0.000, 0.000, 0.500)

Properties
E_form (uncorrected), meV/atom: 233
Total magnetic moment, μB per atom: 0.42
Density of states at the Fermi level, states/eV/f.u.: 2.47
Total energy, eV per cell: -25.69
V, A^3/atom: 22.55

---

# 3
Compound: CrSbI2N
Source: Alexandria via LeMat-Bulk
Functional: PBEsol
Structure: optimized geometry

Cell: 5.424 5.424 5.081 Å, 90.00 90.00 90.00°
Space group P4/mmm (No. 123)
Asymmetric unit:
Cr (0.000, 0.000, 0.000)
Sb (0.000, 0.000, 0.500)
I (0.000, 0.500, 0.000)
N (0.500, 0.500, 0.500)

Properties
E_form (uncorrected), meV/atom: 1255
Total magnetic moment, μB per atom: 1.11
Density of states at the Fermi level, states/eV/f.u.: 3.21
Total energy, eV per cell: -20.59
V, A^3/atom: 29.90

---

# 4
Compound: CrSeI2N
Source: Alexandria via LeMat-Bulk
Functional: PBEsol
Structure: optimized geometry

Cell: 5.444 5.444 3.572 Å, 90.00 90.00 90.00°
Space group P4/mmm (No. 123)
Asymmetric unit:
Cr (0.000, 0.000, 0.000)
Se (0.500, 0.500, 0.500)
I (0.000, 0.500, 0.000)
N (0.000, 0.000, 0.500)

Properties
E_form (uncorrected), meV/atom: 335
Total magnetic moment, μB per atom: 0.35
Density of states at the Fermi level, states/eV/f.u.: 3.25
Total energy, eV per cell: -24.48
V, A^3/atom: 21.18

---

# 5
Compound: CrTeIN2
Source: Alexandria via LeMat-Bulk
Functional: PBEsol
Structure: optimized geometry

Cell: 3.988 3.988 6.911 Å, 90.00 90.00 90.00°
Space group P4/mmm (No. 123)
Asymmetric unit:
Cr (0.000, 0.000, 0.000)
Te (0.500, 0.500, 0.500)
I (0.500, 0.500, 0.000)
N (0.000, 0.500, 0.500)

Properties
E_form (uncorrected), meV/atom: 1433
Total magnetic moment, μB per atom: 0.96
Density of states at the Fermi level, states/eV/f.u.: 2.59
Total energy, eV per cell: -25.42
V, A^3/atom: 21.98

---

# 6
Compound: NaTiCrI2
Source: Alexandria via LeMat-Bulk
Functional: PBEsol
Structure: optimized geometry

Cell: 5.551 5.551 5.414 Å, 90.00 90.00 90.00°
Space group P4/mmm (No. 123)
Asymmetric unit:
Na (0.000, 0.000, 0.000)
Ti (0.000, 0.000, 0.500)
Cr (0.500, 0.500, 0.500)
I (0.000, 0.500, 0.000)

Properties
E_form (uncorrected), meV/atom: 1113
Total magnetic moment, μB per atom: 1.73
Density of states at the Fermi level, states/eV/f.u.: 6.66
Total energy, eV per cell: -17.93
V, A^3/atom: 33.37